[1]
First-principles (PBE) data for a geometry-optimized CaPm5Al4 structure, as listed in Alexandria via LeMat-Bulk.

```
data_CaPm5Al4
_symmetry_space_group_name_H-M 'P 4/m m m'
_symmetry_Int_Tables_number 123
_symmetry_space_group_name_Hall '-P 4 2'
_cell_length_a 3.6807
_cell_length_b 3.6807
_cell_length_c 20.6668
_cell_angle_alpha 90.00
_cell_angle_beta 90.00
_cell_angle_gamma 90.00
loop_
_atom_site_label
_atom_site_type_symbol
_atom_site_fract_x
_atom_site_fract_y
_atom_site_fract_z
Ca1 Ca 0.0000 0.0000 0.0000
Pm1 Pm 0.5000 0.5000 0.1401
Pm2 Pm 0.5000 0.5000 0.3197
Pm3 Pm 0.5000 0.5000 0.5000
Al1 Al 0.0000 0.0000 0.2273
Al2 Al 0.0000 0.0000 0.4098
```

[2]
First-principles (PBE) data for a geometry-optimized CaPmAl structure, as listed in Alexandria via LeMat-Bulk.

```
data_CaPmAl
_symmetry_space_group_name_H-M 'P -3 m 1'
_symmetry_Int_Tables_number 164
_symmetry_space_group_name_Hall '-P 3 2"'
_cell_length_a 5.2177
_cell_length_b 5.2177
_cell_length_c 7.9142
_cell_angle_alpha 90.00
_cell_angle_beta 90.00
_cell_angle_gamma 120.00
loop_
_atom_site_label
_atom_site_type_symbol
_atom_site_fract_x
_atom_site_fract_y
_atom_site_fract_z
Ca1 Ca 0.3333 0.6667 0.3651
Pm1 Pm 0.3333 0.6667 0.8994
Al1 Al 0.0000 0.0000 0.1776
```

[3]
First-principles (PBE) data for a geometry-optimized Ca2PmAl structure, as listed in Alexandria via LeMat-Bulk.

```
data_Ca2PmAl
_symmetry_space_group_name_H-M 'R -3 m'
_symmetry_Int_Tables_number 166
_symmetry_space_group_name_Hall '-R 3 2"'
_cell_length_a 3.5541
_cell_length_b 3.5541
_cell_length_c 35.9900
_cell_angle_alpha 90.00
_cell_angle_beta 90.00
_cell_angle_gamma 120.00
loop_
_atom_site_label
_atom_site_type_symbol
_atom_site_fract_x
_atom_site_fract_y
_atom_site_fract_z
Ca1 Ca 0.0000 0.0000 0.0984
Pm1 Pm 0.0000 0.0000 0.0000
Al1 Al 0.0000 0.0000 0.5000
```

| no. | energy (eV/atom) | density of states at the Fermi level (states/eV per cell) |
| --- | --- | --- |
| 1 | -4.347 | 5.83 |
| 2 | -3.618 | 3.03 |
| 3 | -2.965 | 11.12 |